Entry 1:
# VSbRu3 GGA-PBE relaxed
# theoretical density: 8682 kg/m³
# E above lowest polymorph: 0 meV per atom
# formation energy from raw total energies: 4.8 eV per formula unit
# magnetization: 0.000 μB per atom
# uncorrected energy: -7.256 eV per atom
data_VSbRu3
_chemical_formula_sum 'V1 Sb1 Ru3'
_cell_length_a 4.498
_cell_length_b 4.498
_cell_length_c 4.498
_cell_angle_alpha 90.00
_cell_angle_beta 90.00
_cell_angle_gamma 90.00
_space_group_name_H-M_alt 'P 1'
_space_group_IT_number 1
loop_
_space_group_symop_operation_xyz
'x,y,z'
loop_
_atom_site_label
_atom_site_type_symbol
_atom_site_fract_x
_atom_site_fract_y
_atom_site_fract_z
_atom_site_occupancy
V1 V 0.000 0.000 0.000 1
Sb1 Sb 0.500 0.500 0.500 1
Ru1 Ru 0.000 0.000 0.500 1
Ru2 Ru 0.000 0.500 0.000 1
Ru3 Ru 0.500 0.000 0.000 1

Entry 2:
# V5SbRu6 GGA-PBE relaxed
# theoretical density: 9556 kg/m³
# formation energy from raw total energies: -2.3 eV per formula unit
# magnetization: 0.323 μB per atom
# uncorrected energy: -8.969 eV per atom
data_V5SbRu6
_chemical_formula_sum 'V5 Sb1 Ru6'
_cell_length_a 7.520
_cell_length_b 7.520
_cell_length_c 7.520
_cell_angle_alpha 146.82
_cell_angle_beta 132.25
_cell_angle_gamma 59.38
_space_group_name_H-M_alt 'P 1'
_space_group_IT_number 1
loop_
_space_group_symop_operation_xyz
'x,y,z'
loop_
_atom_site_label
_atom_site_type_symbol
_atom_site_fract_x
_atom_site_fract_y
_atom_site_fract_z
_atom_site_occupancy
V1 V 0.000 0.000 0.000 1
V2 V 0.171 0.671 0.500 1
V3 V 0.323 0.323 0.000 1
V4 V 0.677 0.677 0.000 1
V5 V 0.829 0.329 0.500 1
Sb1 Sb 0.500 0.000 0.500 1
Ru1 Ru 0.082 0.836 0.247 1
Ru2 Ru 0.241 0.500 0.741 1
Ru3 Ru 0.411 0.164 0.247 1
Ru4 Ru 0.589 0.836 0.753 1
Ru5 Ru 0.759 0.500 0.259 1
Ru6 Ru 0.918 0.164 0.753 1

Entry 3:
# VSbRu GGA-PBE relaxed
# theoretical density: 7416 kg/m³
# formation energy from raw total energies: 0.0 eV per formula unit
# magnetization: 0.000 μB per atom
# uncorrected energy: -7.513 eV per atom
data_VSbRu
_chemical_formula_sum 'V4 Sb4 Ru4'
_cell_length_a 7.113
_cell_length_b 4.202
_cell_length_c 8.248
_cell_angle_alpha 90.00
_cell_angle_beta 95.84
_cell_angle_gamma 90.00
_space_group_name_H-M_alt 'P 1'
_space_group_IT_number 1
loop_
_space_group_symop_operation_xyz
'x,y,z'
loop_
_atom_site_label
_atom_site_type_symbol
_atom_site_fract_x
_atom_site_fract_y
_atom_site_fract_z
_atom_site_occupancy
V1 V 0.000 0.000 0.000 1
V2 V 0.130 0.500 0.762 1
V3 V 0.500 0.500 0.000 1
V4 V 0.630 0.000 0.762 1
Sb1 Sb 0.272 0.000 0.528 1
Sb2 Sb 0.428 0.000 0.198 1
Sb3 Sb 0.772 0.500 0.528 1
Sb4 Sb 0.928 0.500 0.198 1
Ru1 Ru 0.311 0.000 0.884 1
Ru2 Ru 0.454 0.500 0.692 1
Ru3 Ru 0.811 0.500 0.884 1
Ru4 Ru 0.954 0.000 0.692 1

Entry 4:
# V2SbRu GGA-PBE relaxed
# theoretical density: 7886 kg/m³
# formation energy from raw total energies: 1.3 eV per formula unit
# magnetization: 0.000 μB per atom
# uncorrected energy: -7.580 eV per atom
data_V2SbRu
_chemical_formula_sum 'V8 Sb4 Ru4'
_cell_length_a 7.104
_cell_length_b 7.104
_cell_length_c 5.419
_cell_angle_alpha 90.00
_cell_angle_beta 90.00
_cell_angle_gamma 90.00
_space_group_name_H-M_alt 'P 1'
_space_group_IT_number 1
loop_
_space_group_symop_operation_xyz
'x,y,z'
loop_
_atom_site_label
_atom_site_type_symbol
_atom_site_fract_x
_atom_site_fract_y
_atom_site_fract_z
_atom_site_occupancy
V1 V 0.208 0.250 0.125 1
V2 V 0.250 0.708 0.375 1
V3 V 0.250 0.792 0.875 1
V4 V 0.292 0.250 0.625 1
V5 V 0.708 0.750 0.625 1
V6 V 0.750 0.208 0.875 1
V7 V 0.750 0.292 0.375 1
V8 V 0.792 0.750 0.125 1
Sb1 Sb 0.000 0.000 0.500 1
Sb2 Sb 0.000 0.500 0.750 1
Sb3 Sb 0.500 0.000 0.250 1
Sb4 Sb 0.500 0.500 0.000 1
Ru1 Ru 0.000 0.000 0.000 1
Ru2 Ru 0.000 0.500 0.250 1
Ru3 Ru 0.500 0.000 0.750 1
Ru4 Ru 0.500 0.500 0.500 1

Entry 5:
# VSb2Ru GGA-PBE relaxed
# theoretical density: 9282 kg/m³
# E above lowest polymorph: 0 meV per atom
# formation energy from raw total energies: 0.5 eV per formula unit
# magnetization: 0.255 μB per atom
# uncorrected energy: -6.535 eV per atom
data_VSb2Ru
_chemical_formula_sum 'V4 Sb8 Ru4'
_cell_length_a 6.566
_cell_length_b 6.566
_cell_length_c 6.566
_cell_angle_alpha 90.00
_cell_angle_beta 90.00
_cell_angle_gamma 90.00
_space_group_name_H-M_alt 'P 1'
_space_group_IT_number 1
loop_
_space_group_symop_operation_xyz
'x,y,z'
loop_
_atom_site_label
_atom_site_type_symbol
_atom_site_fract_x
_atom_site_fract_y
_atom_site_fract_z
_atom_site_occupancy
V1 V 0.000 0.000 0.000 1
V2 V 0.000 0.500 0.500 1
V3 V 0.500 0.000 0.500 1
V4 V 0.500 0.500 0.000 1
Sb1 Sb 0.250 0.250 0.250 1
Sb2 Sb 0.250 0.250 0.750 1
Sb3 Sb 0.250 0.750 0.250 1
Sb4 Sb 0.250 0.750 0.750 1
Sb5 Sb 0.750 0.250 0.250 1
Sb6 Sb 0.750 0.250 0.750 1
Sb7 Sb 0.750 0.750 0.250 1
Sb8 Sb 0.750 0.750 0.750 1
Ru1 Ru 0.000 0.000 0.500 1
Ru2 Ru 0.000 0.500 0.000 1
Ru3 Ru 0.500 0.000 0.000 1
Ru4 Ru 0.500 0.500 0.500 1

Entry 6:
# YVSb2Ru GGA-PBE relaxed
# theoretical density: 6793 kg/m³
# formation energy from raw total energies: 1.0 eV per formula unit
# magnetization: 0.105 μB per atom
# uncorrected energy: -6.414 eV per atom
data_YVSb2Ru
_chemical_formula_sum 'Y1 V1 Sb2 Ru1'
_cell_length_a 5.150
_cell_length_b 5.150
_cell_length_c 4.464
_cell_angle_alpha 90.00
_cell_angle_beta 90.00
_cell_angle_gamma 90.00
_space_group_name_H-M_alt 'P 1'
_space_group_IT_number 1
loop_
_space_group_symop_operation_xyz
'x,y,z'
loop_
_atom_site_label
_atom_site_type_symbol
_atom_site_fract_x
_atom_site_fract_y
_atom_site_fract_z
_atom_site_occupancy
Y1 Y 0.000 0.000 0.000 1
V1 V 0.500 0.500 0.500 1
Sb1 Sb 0.000 0.500 0.500 1
Sb2 Sb 0.500 0.000 0.500 1
Ru1 Ru 0.500 0.500 0.000 1

Entry 7:
# SbRu2W GGA-PBE relaxed
# theoretical density: 13058 kg/m³
# formation energy from raw total energies: 0.7 eV per formula unit
# magnetization: 0.000 μB per atom
# uncorrected energy: -8.728 eV per atom
data_SbRu2W
_chemical_formula_sum 'Sb1 Ru2 W1'
_cell_length_a 2.953
_cell_length_b 3.769
_cell_length_c 5.802
_cell_angle_alpha 90.00
_cell_angle_beta 90.14
_cell_angle_gamma 90.00
_space_group_name_H-M_alt 'P 1'
_space_group_IT_number 1
loop_
_space_group_symop_operation_xyz
'x,y,z'
loop_
_atom_site_label
_atom_site_type_symbol
_atom_site_fract_x
_atom_site_fract_y
_atom_site_fract_z
_atom_site_occupancy
Sb1 Sb 0.000 0.000 0.000 1
Ru1 Ru 0.500 0.500 0.265 1
Ru2 Ru 0.500 0.500 0.735 1
W1 W 0.000 0.000 0.500 1

Entry 8:
# SbRu4W GGA-PBE relaxed
# theoretical density: 12327 kg/m³
# formation energy from raw total energies: 3.3 eV per formula unit
# magnetization: 0.000 μB per atom
# uncorrected energy: -8.478 eV per atom
data_SbRu4W
_chemical_formula_sum 'Sb1 Ru4 W1'
_cell_length_a 5.133
_cell_length_b 5.133
_cell_length_c 5.133
_cell_angle_alpha 60.00
_cell_angle_beta 60.00
_cell_angle_gamma 60.00
_space_group_name_H-M_alt 'P 1'
_space_group_IT_number 1
loop_
_space_group_symop_operation_xyz
'x,y,z'
loop_
_atom_site_label
_atom_site_type_symbol
_atom_site_fract_x
_atom_site_fract_y
_atom_site_fract_z
_atom_site_occupancy
Sb1 Sb 0.000 0.000 0.000 1
Ru1 Ru 0.126 0.625 0.625 1
Ru2 Ru 0.625 0.126 0.625 1
Ru3 Ru 0.625 0.625 0.126 1
Ru4 Ru 0.625 0.625 0.625 1
W1 W 0.250 0.250 0.250 1

Entry 9:
# SbRu2W GGA-PBE relaxed
# theoretical density: 12603 kg/m³
# formation energy from raw total energies: 1.1 eV per formula unit
# magnetization: 0.000 μB per atom
# uncorrected energy: -8.639 eV per atom
data_SbRu2W
_chemical_formula_sum 'Sb3 Ru6 W3'
_cell_length_a 3.033
_cell_length_b 3.033
_cell_length_c 25.199
_cell_angle_alpha 90.00
_cell_angle_beta 90.00
_cell_angle_gamma 120.00
_space_group_name_H-M_alt 'P 1'
_space_group_IT_number 1
loop_
_space_group_symop_operation_xyz
'x,y,z'
loop_
_atom_site_label
_atom_site_type_symbol
_atom_site_fract_x
_atom_site_fract_y
_atom_site_fract_z
_atom_site_occupancy
Sb1 Sb 0.000 0.000 0.000 1
Sb2 Sb 0.333 0.667 0.667 1
Sb3 Sb 0.667 0.333 0.333 1
Ru1 Ru 0.000 0.000 0.246 1
Ru2 Ru 0.000 0.000 0.754 1
Ru3 Ru 0.333 0.667 0.421 1
Ru4 Ru 0.333 0.667 0.912 1
Ru5 Ru 0.667 0.333 0.088 1
Ru6 Ru 0.667 0.333 0.579 1
W1 W 0.000 0.000 0.500 1
W2 W 0.333 0.667 0.167 1
W3 W 0.667 0.333 0.833 1

Entry 10:
# Sb2RuW GGA-PBE relaxed
# theoretical density: 10613 kg/m³
# E above lowest polymorph: 579 meV per atom
# formation energy from raw total energies: 2.9 eV per formula unit
# magnetization: 0.000 μB per atom
# uncorrected energy: -6.892 eV per atom
data_Sb2RuW
_chemical_formula_sum 'Sb8 Ru4 W4'
_cell_length_a 4.308
_cell_length_b 4.308
_cell_length_c 17.816
_cell_angle_alpha 90.00
_cell_angle_beta 90.00
_cell_angle_gamma 90.00
_space_group_name_H-M_alt 'P 1'
_space_group_IT_number 1
loop_
_space_group_symop_operation_xyz
'x,y,z'
loop_
_atom_site_label
_atom_site_type_symbol
_atom_site_fract_x
_atom_site_fract_y
_atom_site_fract_z
_atom_site_occupancy
Sb1 Sb 0.240 0.250 0.125 1
Sb2 Sb 0.250 0.740 0.375 1
Sb3 Sb 0.250 0.760 0.875 1
Sb4 Sb 0.260 0.250 0.625 1
Sb5 Sb 0.740 0.750 0.625 1
Sb6 Sb 0.750 0.240 0.875 1
Sb7 Sb 0.750 0.260 0.375 1
Sb8 Sb 0.760 0.750 0.125 1
Ru1 Ru 0.000 0.000 0.000 1
Ru2 Ru 0.000 0.500 0.250 1
Ru3 Ru 0.500 0.000 0.750 1
Ru4 Ru 0.500 0.500 0.500 1
W1 W 0.000 0.000 0.500 1
W2 W 0.000 0.500 0.750 1
W3 W 0.500 0.000 0.250 1
W4 W 0.500 0.500 0.000 1

Entry 11:
# SbRu3W GGA-PBE relaxed
# theoretical density: 9928 kg/m³
# E above lowest polymorph: 718 meV per atom
# formation energy from raw total energies: 10.6 eV per formula unit
# magnetization: 0.000 μB per atom
# uncorrected energy: -6.852 eV per atom
data_SbRu3W
_chemical_formula_sum 'Sb1 Ru3 W1'
_cell_length_a 4.670
_cell_length_b 4.670
_cell_length_c 4.670
_cell_angle_alpha 90.00
_cell_angle_beta 90.00
_cell_angle_gamma 90.00
_space_group_name_H-M_alt 'P 1'
_space_group_IT_number 1
loop_
_space_group_symop_operation_xyz
'x,y,z'
loop_
_atom_site_label
_atom_site_type_symbol
_atom_site_fract_x
_atom_site_fract_y
_atom_site_fract_z
_atom_site_occupancy
Sb1 Sb 0.000 0.000 0.000 1
Ru1 Ru 0.000 0.000 0.500 1
Ru2 Ru 0.000 0.500 0.000 1
Ru3 Ru 0.500 0.000 0.000 1
W1 W 0.500 0.500 0.500 1

Entry 12:
# SbRuW2 GGA-PBE relaxed
# theoretical density: 14568 kg/m³
# formation energy from raw total energies: 1.6 eV per formula unit
# magnetization: 0.000 μB per atom
# uncorrected energy: -9.417 eV per atom
data_SbRuW2
_chemical_formula_sum 'Sb1 Ru1 W2'
_cell_length_a 2.901
_cell_length_b 4.378
_cell_length_c 5.372
_cell_angle_alpha 90.00
_cell_angle_beta 99.44
_cell_angle_gamma 90.00
_space_group_name_H-M_alt 'P 1'
_space_group_IT_number 1
loop_
_space_group_symop_operation_xyz
'x,y,z'
loop_
_atom_site_label
_atom_site_type_symbol
_atom_site_fract_x
_atom_site_fract_y
_atom_site_fract_z
_atom_site_occupancy
Sb1 Sb 0.000 0.000 0.000 1
Ru1 Ru 0.958 0.500 0.736 1
W1 W 0.342 0.000 0.511 1
W2 W 0.570 0.500 0.255 1